# Sc2NiIr | Alexandria via LeMat-Bulk | GGA-PBE | relaxed
# - energy of formation (eV per atom) = -0.32
# - relative energy among the computed polymorphs (meV per atom) = 477
data_Sc2NiIr
_chemical_formula_sum 'Sc6 Ni3 Ir3'
_cell_length_a 3.1268
_cell_length_b 3.1268
_cell_length_c 24.2093
_cell_angle_alpha 90.00
_cell_angle_beta 90.00
_cell_angle_gamma 120.00
_symmetry_space_group_name_H-M 'R -3 m'
_symmetry_Int_Tables_number 166
_symmetry_space_group_name_Hall '-R 3 2"'
loop_
_atom_site_label
_atom_site_type_symbol
_atom_site_fract_x
_atom_site_fract_y
_atom_site_fract_z
Sc1 Sc 0.0000 0.0000 0.2475
Ni1 Ni 0.0000 0.0000 0.5000
Ir1 Ir 0.0000 0.0000 0.0000

***

# In2AsSe | Alexandria via LeMat-Bulk | GGA-PBE | relaxed
# - formation energy (no corrections) (meV per atom) = 40.7
# - relative energy among the computed polymorphs (meV per atom) = 330
data_In2AsSe
_chemical_formula_sum 'In4 As2 Se2'
_cell_length_a 4.006
_cell_length_b 4.006
_cell_length_c 12.652
_cell_angle_alpha 90.00
_cell_angle_beta 90.00
_cell_angle_gamma 90.00
_symmetry_space_group_name_H-M 'I -4 m 2'
_symmetry_Int_Tables_number 119
_symmetry_space_group_name_Hall 'I -4 -2'
loop_
_atom_site_label
_atom_site_type_symbol
_atom_site_fract_x
_atom_site_fract_y
_atom_site_fract_z
In1 In 0.000 0.000 0.000
In2 In 0.000 0.500 0.250
As1 As 0.000 0.000 0.500
Se1 Se 0.000 0.500 0.750

***

What did the first record say?
# Sc2NiIr | Alexandria via LeMat-Bulk | GGA-PBE | relaxed
# - energy of formation (eV per atom) = -0.32
# - relative energy among the computed polymorphs (meV per atom) = 477
data_Sc2NiIr
_chemical_formula_sum 'Sc6 Ni3 Ir3'
_cell_length_a 3.1268
_cell_length_b 3.1268
_cell_length_c 24.2093
_cell_angle_alpha 90.00
_cell_angle_beta 90.00
_cell_angle_gamma 120.00
_symmetry_space_group_name_H-M 'R -3 m'
_symmetry_Int_Tables_number 166
_symmetry_space_group_name_Hall '-R 3 2"'
loop_
_atom_site_label
_atom_site_type_symbol
_atom_site_fract_x
_atom_site_fract_y
_atom_site_fract_z
Sc1 Sc 0.0000 0.0000 0.2475
Ni1 Ni 0.0000 0.0000 0.5000
Ir1 Ir 0.0000 0.0000 0.0000

***

Repeat the first record exactly.
# Sc2NiIr | Alexandria via LeMat-Bulk | GGA-PBE | relaxed
# - energy of formation (eV per atom) = -0.32
# - relative energy among the computed polymorphs (meV per atom) = 477
data_Sc2NiIr
_chemical_formula_sum 'Sc6 Ni3 Ir3'
_cell_length_a 3.1268
_cell_length_b 3.1268
_cell_length_c 24.2093
_cell_angle_alpha 90.00
_cell_angle_beta 90.00
_cell_angle_gamma 120.00
_symmetry_space_group_name_H-M 'R -3 m'
_symmetry_Int_Tables_number 166
_symmetry_space_group_name_Hall '-R 3 2"'
loop_
_atom_site_label
_atom_site_type_symbol
_atom_site_fract_x
_atom_site_fract_y
_atom_site_fract_z
Sc1 Sc 0.0000 0.0000 0.2475
Ni1 Ni 0.0000 0.0000 0.5000
Ir1 Ir 0.0000 0.0000 0.0000

***

Copy entry 2 word for word.
# In2AsSe | Alexandria via LeMat-Bulk | GGA-PBE | relaxed
# - formation energy (no corrections) (meV per atom) = 40.7
# - relative energy among the computed polymorphs (meV per atom) = 330
data_In2AsSe
_chemical_formula_sum 'In4 As2 Se2'
_cell_length_a 4.006
_cell_length_b 4.006
_cell_length_c 12.652
_cell_angle_alpha 90.00
_cell_angle_beta 90.00
_cell_angle_gamma 90.00
_symmetry_space_group_name_H-M 'I -4 m 2'
_symmetry_Int_Tables_number 119
_symmetry_space_group_name_Hall 'I -4 -2'
loop_
_atom_site_label
_atom_site_type_symbol
_atom_site_fract_x
_atom_site_fract_y
_atom_site_fract_z
In1 In 0.000 0.000 0.000
In2 In 0.000 0.500 0.250
As1 As 0.000 0.000 0.500
Se1 Se 0.000 0.500 0.750